Record 1
First-principles (GGA-PBE) data for Pr5ZrSn4 after structural relaxation, as listed in Alexandria via LeMat-Bulk.

Symmetry: C2/m
Formation energy, eV/atom: -0.459
Crystal system: monoclinic

a b c (Å): 8.818 8.818 7.064
angles (deg): 92.50 92.50 35.74
Positions (direct):
Pr: 0.000 0.000 0.000
Pr: 0.330 0.330 0.492
Pr: 0.335 0.335 0.994
Pr: 0.665 0.665 0.006
Pr: 0.670 0.670 0.508
Zr: 0.000 0.000 0.500
Sn: 0.168 0.168 0.746
Sn: 0.494 0.494 0.727
Sn: 0.506 0.506 0.273
Sn: 0.832 0.832 0.254


Record 2
First-principles (GGA-PBE) data for CaY3Hg6 after structural relaxation, as listed in Alexandria via LeMat-Bulk.

Symmetry: P2_1/m
Formation energy, eV/atom: -0.450
Crystal system: monoclinic

a b c (Å): 9.190 5.180 11.188
angles (deg): 90.00 106.70 90.00
Positions (direct):
Ca: 0.059 0.250 0.394
Ca: 0.941 0.750 0.606
Y: 0.229 0.250 0.010
Y: 0.355 0.750 0.800
Y: 0.479 0.250 0.614
Y: 0.521 0.750 0.386
Y: 0.645 0.250 0.200
Y: 0.771 0.750 0.990
Hg: 0.065 0.750 0.897
Hg: 0.142 0.750 0.201
Hg: 0.167 0.250 0.697
Hg: 0.256 0.750 0.511
Hg: 0.350 0.250 0.301
Hg: 0.462 0.750 0.089
Hg: 0.538 0.250 0.911
Hg: 0.650 0.750 0.699
Hg: 0.744 0.250 0.489
Hg: 0.833 0.750 0.303
Hg: 0.858 0.250 0.799
Hg: 0.935 0.250 0.103


Record 3
First-principles (GGA-PBE) data for ZnSiIN2 after structural relaxation, as listed in Alexandria via LeMat-Bulk.

ΔE to the lowest computed polymorph, eV/f.u.: 0.00
Symmetry: P4/mmm
Crystal system: tetragonal
Uncorrected formation energy, eV/atom: 0.68

a b c (Å): 3.619 3.619 6.589
angles (deg): 90.00 90.00 90.00
Positions (direct):
Zn: 0.000 0.000 0.000
Si: 0.500 0.500 0.500
I: 0.500 0.500 0.000
N: 0.000 0.500 0.500
N: 0.500 0.000 0.500


> What is the formula in the third record?

ZnSiIN2